1.
VASP calculation (PBE-GGA) on a geometry-optimized AcAl6Au12 structure.

a b c (Å): 7.511 7.511 7.511
angles (deg): 105.41 105.41 105.41
Atoms (fractional coordinates):
Au 0.607 0.607 0.860
Au 0.607 0.860 0.607
Ac 0.000 0.000 0.000
Au 0.393 0.140 0.393
Al 0.275 0.275 0.693
Au 0.500 0.119 0.881
Al 0.693 0.275 0.275
Au 0.140 0.393 0.393
Au 0.881 0.500 0.119
Au 0.393 0.393 0.140
Al 0.725 0.307 0.725
Al 0.307 0.725 0.725
Au 0.119 0.881 0.500
Au 0.881 0.119 0.500
Au 0.500 0.881 0.119
Al 0.725 0.725 0.307
Au 0.119 0.500 0.881
Al 0.275 0.693 0.275
Au 0.860 0.607 0.607

Results
As for the total energy: -73.33 eV per formula unit. The magnetic moment is 0.000 Bohr magnetons per cell. Its formation energy is -0.392 eV per atom. The crystal system is trigonal.

2.
VASP calculation (PBE-GGA) on a geometry-optimized Y4In5Ga2 structure.

a b c (Å): 3.629 7.783 9.736
angles (deg): 95.14 90.00 90.00
Atoms (fractional coordinates):
Ga 0.000 0.069 0.628
Y 0.500 0.181 0.868
In 0.000 0.551 0.315
Y 0.500 0.250 0.434
In 0.000 0.500 0.000
Y 0.500 0.819 0.132
In 0.000 0.449 0.685
In 0.000 0.172 0.152
In 0.000 0.828 0.848
Y 0.500 0.750 0.566
Ga 0.000 0.931 0.372

Results
As for the total energy: -50.98 eV per formula unit. The magnetic moment is 0.000 Bohr magnetons per cell. Its formation energy is -0.489 eV per atom. The crystal system is monoclinic.

3.
VASP calculation (PBE-GGA) on a geometry-optimized LiPmSc2In4 structure.

a b c (Å): 5.080 5.080 9.009
angles (deg): 73.63 73.63 60.00
Atoms (fractional coordinates):
Sc 0.752 0.752 0.743
In 0.129 0.129 0.612
Pm 0.000 0.000 0.000
In 0.871 0.871 0.388
In 0.381 0.381 0.856
Li 0.500 0.500 0.500
Sc 0.248 0.248 0.257
In 0.619 0.619 0.144

Results
As for the total energy: -33.38 eV per formula unit. The magnetic moment is 0.000 Bohr magnetons per cell. Its formation energy is -0.387 eV per atom. The crystal system is trigonal.